(1)
K17Cd11Ga: optimized geometry, PBE-GGA.

The structure in POSCAR format:
```
K17Cd11Ga
1.0
6.8129 -8.9099 0.0000
6.8129 8.9099 0.0000
-4.7417 0.0000 10.0940
K Cd Ga
17 11 1
direct
0.0000 0.0000 0.0000 K
0.0023 0.0023 0.6061 K
0.0061 0.6148 0.0146 K
0.2806 0.6332 0.8686 K
0.2835 0.2835 0.2917 K
0.2830 0.8669 0.6431 K
0.2855 0.6600 0.2927 K
0.2862 0.2862 0.6663 K
0.6148 0.0061 0.0146 K
0.6287 0.8569 0.2876 K
0.6332 0.2806 0.8686 K
0.6395 0.6395 0.8976 K
0.6410 0.8867 0.6438 K
0.6600 0.2855 0.2927 K
0.8569 0.6287 0.2876 K
0.8669 0.2830 0.6431 K
0.8867 0.6410 0.6438 K
0.0964 0.4577 0.4633 Cd
0.1419 0.9664 0.3299 Cd
0.1509 0.3331 0.9794 Cd
0.3283 0.9695 0.1516 Cd
0.3331 0.1509 0.9794 Cd
0.3992 0.5740 0.5744 Cd
0.4577 0.0964 0.4633 Cd
0.4638 0.4638 0.1233 Cd
0.5740 0.3992 0.5744 Cd
0.9664 0.1419 0.3299 Cd
0.9695 0.3283 0.1516 Cd
0.5704 0.5704 0.4068 Ga
```

energy of formation = -0.01 eV per atom
DFT total energy = -32.0 eV/cell
mass density = 2671 kg/m³



(2)
K2Cd2Ga: optimized geometry, PBE-GGA.

The structure in POSCAR format:
```
K2Cd2Ga
1.0
10.2678 0.0000 0.0000
0.0000 10.2678 0.0000
0.0000 0.0000 3.3677
K Cd Ga
4 4 2
direct
0.1900 0.3100 0.0000 K
0.3100 0.8100 0.0000 K
0.6900 0.1900 0.0000 K
0.8100 0.6900 0.0000 K
0.1027 0.6027 0.5000 Cd
0.3973 0.1027 0.5000 Cd
0.6027 0.8973 0.5000 Cd
0.8973 0.3973 0.5000 Cd
0.0000 0.0000 0.0000 Ga
0.5000 0.5000 0.0000 Ga
```

E above lowest polymorph = 258.9 meV/atom
energy of formation = 0.20 eV per atom
DFT total energy = -12.1 eV/cell
mass density = 3487 kg/m³



(3)
K16Cd12Ga: optimized geometry, PBE-GGA.

The structure in POSCAR format:
```
K16Cd12Ga
1.0
6.6425 -8.8401 0.0000
6.6425 8.8401 0.0000
-6.3156 0.0000 9.7463
K Cd Ga
16 12 1
direct
0.0000 0.0000 0.0000 K
0.0043 0.7029 0.7446 K
0.0088 0.0088 0.3352 K
0.0099 0.4287 0.0186 K
0.0171 0.6500 0.3456 K
0.2832 0.2832 0.0219 K
0.3268 0.6050 0.9432 K
0.3447 0.7196 0.6495 K
0.3577 0.3577 0.6330 K
0.4287 0.0099 0.0186 K
0.4547 0.6724 0.3648 K
0.6050 0.3268 0.9432 K
0.6500 0.0171 0.3456 K
0.6724 0.4547 0.3648 K
0.7029 0.0043 0.7446 K
0.7196 0.3447 0.6495 K
0.0028 0.3605 0.4994 Cd
0.0192 0.2041 0.6751 Cd
0.1595 0.3393 0.3088 Cd
0.1887 0.8259 0.1691 Cd
0.2041 0.0192 0.6751 Cd
0.3393 0.1595 0.3088 Cd
0.3605 0.0028 0.4994 Cd
0.6684 0.8505 0.0016 Cd
0.6926 0.6926 0.1852 Cd
0.8259 0.1887 0.1691 Cd
0.8505 0.6684 0.0016 Cd
0.8720 0.8720 0.5284 Cd
0.6753 0.6753 0.7616 Ga
```

energy of formation = -0.02 eV per atom
DFT total energy = -32.0 eV/cell
mass density = 2966 kg/m³



(4)
KCd2Ga2: optimized geometry, PBE-GGA.

The structure in POSCAR format:
```
KCd2Ga2
1.0
-2.3548 2.3548 5.7685
2.3548 -2.3548 5.7685
2.3548 2.3548 -5.7685
K Cd Ga
1 2 2
direct
0.0000 0.0000 0.0000 K
0.2500 0.7500 0.5000 Cd
0.7500 0.2500 0.5000 Cd
0.3874 0.3874 0.0000 Ga
0.6126 0.6126 0.0000 Ga
```

E above lowest polymorph = 0.0 meV/atom
energy of formation = -0.08 eV per atom
DFT total energy = -9.4 eV/cell
mass density = 5235 kg/m³